Entry from Alexandria: GaAg3Au after structural relaxation (PBE). Values from VASP.

Results
formation enthalpy at 0 K	268	kJ/mol of formula units
distance to the lowest polymorph of the same formula	457	meV per atom
DOS at the Fermi energy	1.83	states/eV/cell

```
&SYSTEM
  ibrav = 0, nat = 5, ntyp = 3
/
ATOMIC_SPECIES
Au 196.97 Au.upf
Ga 69.72 Ga.upf
Ag 107.87 Ag.upf
CELL_PARAMETERS angstrom
-3.188 2.495 -2.601
-1.032 -3.959 -2.533
-3.453 -1.120 3.158
ATOMIC_POSITIONS angstrom
Au -3.836 -1.292 -0.988
Ga 0.000 0.000 0.000
Ag -0.516 -1.979 -1.267
Ag -1.727 -0.560 1.579
Ag -1.594 1.248 -1.300
```